No. 1
A plane-wave DFT calculation with PBE was carried out for an optimized crystal structure of BaGd4Dy. Values from VASP.

The structure in Quantum ESPRESSO input format:
```
&SYSTEM
  ibrav = 0, nat = 6, ntyp = 3
/
ATOMIC_SPECIES
Dy 162.50 Dy.upf
Ba 137.33 Ba.upf
Gd 157.25 Gd.upf
CELL_PARAMETERS angstrom
-1.741 4.982 -3.413
-4.354 -3.516 -2.859
-3.980 1.499 4.218
ATOMIC_POSITIONS angstrom
Dy -1.990 0.749 2.109
Ba -3.048 0.733 -3.136
Gd -6.109 1.740 -2.129
Gd -3.966 1.225 0.075
Gd -2.183 3.544 -3.319
Gd -3.912 -2.078 -2.953
```



No. 2
A plane-wave DFT calculation with PBE was carried out for an optimized crystal structure of GdDyCo2Ge2. Values from VASP.

The structure in Quantum ESPRESSO input format:
```
&SYSTEM
  ibrav = 0, nat = 6, ntyp = 4
/
ATOMIC_SPECIES
Ge 72.64 Ge.upf
Co 58.93 Co.upf
Gd 157.25 Gd.upf
Dy 162.50 Dy.upf
CELL_PARAMETERS angstrom
-1.994 2.369 -2.652
-3.071 0.387 2.654
2.915 5.357 2.592
ATOMIC_POSITIONS angstrom
Ge 2.335 4.291 2.077
Ge -1.945 2.458 0.524
Co -0.994 1.191 -1.323
Co -1.532 0.199 1.330
Gd -0.535 5.049 1.778
Dy 0.903 1.658 0.803
```



No. 3
! PBE HoErPd, optimized geometry; values from VASP
! * energy relative to the lowest polymorph listed for this composition: 147 meV per atom
! * ΔH_f (0 K): -0.504 eV per atom
&SYSTEM
  ibrav = 0, nat = 3, ntyp = 3
/
ATOMIC_SPECIES
Ho 164.93 Ho.upf
Pd 106.42 Pd.upf
Er 167.26 Er.upf
CELL_PARAMETERS angstrom
-4.103 -0.807 2.426
-4.265 0.774 -2.140
-2.819 -3.741 -1.195
ATOMIC_POSITIONS angstrom
Ho -8.390 -2.830 -0.681
Pd 0.000 0.000 0.000
Er -2.797 -0.943 -0.227



No. 4
A plane-wave DFT calculation with PBE was carried out for an optimized crystal structure of ErGaAu. Values from VASP.

The structure in Quantum ESPRESSO input format:
```
&SYSTEM
  ibrav = 0, nat = 3, ntyp = 3
/
ATOMIC_SPECIES
Ga 69.72 Ga.upf
Au 196.97 Au.upf
Er 167.26 Er.upf
CELL_PARAMETERS angstrom
0.000 3.345 3.345
3.345 0.000 3.345
3.345 3.345 0.000
ATOMIC_POSITIONS angstrom
Ga 5.018 5.018 5.018
Au 1.673 1.673 1.673
Er 0.000 0.000 0.000
```



No. 5
A plane-wave DFT calculation with PBE was carried out for an optimized crystal structure of Li4AlZn2Pb. Values from VASP.

The structure in Quantum ESPRESSO input format:
```
&SYSTEM
  ibrav = 0, nat = 8, ntyp = 4
/
ATOMIC_SPECIES
Li 6.94 Li.upf
Zn 65.41 Zn.upf
Al 26.98 Al.upf
Pb 207.20 Pb.upf
CELL_PARAMETERS angstrom
4.482 0.000 0.000
0.000 4.482 0.000
0.000 0.000 6.369
ATOMIC_POSITIONS angstrom
Li 2.241 2.241 0.000
Li 2.241 0.000 1.518
Li 0.000 2.241 4.851
Li 0.000 0.000 3.185
Zn 2.241 0.000 4.948
Zn 0.000 2.241 1.421
Al 0.000 0.000 0.000
Pb 2.241 2.241 3.185
```



No. 6
A plane-wave DFT calculation with PBE was carried out for an optimized crystal structure of NiSn6Pb. Values from VASP.

The structure in Quantum ESPRESSO input format:
```
&SYSTEM
  ibrav = 0, nat = 8, ntyp = 3
/
ATOMIC_SPECIES
Pb 207.20 Pb.upf
Sn 118.71 Sn.upf
Ni 58.69 Ni.upf
CELL_PARAMETERS angstrom
7.844 0.000 0.000
-3.922 6.793 0.000
0.000 0.000 4.011
ATOMIC_POSITIONS angstrom
Pb 0.000 4.529 2.005
Sn 2.235 3.239 0.000
Sn 5.610 3.239 0.000
Sn 3.922 0.316 0.000
Sn 6.283 0.901 2.005
Sn 3.922 4.991 2.005
Sn 1.561 0.901 2.005
Ni 0.000 0.000 0.000
```



No. 7
A plane-wave DFT calculation with PBE was carried out for an optimized crystal structure of TbAlSi. Values from VASP.

The structure in Quantum ESPRESSO input format:
```
&SYSTEM
  ibrav = 0, nat = 9, ntyp = 3
/
ATOMIC_SPECIES
Tb 158.93 Tb.upf
Si 28.09 Si.upf
Al 26.98 Al.upf
CELL_PARAMETERS angstrom
-2.053 -5.816 4.163
0.095 -0.583 -7.418
3.830 -1.247 0.147
ATOMIC_POSITIONS angstrom
Tb -0.568 -1.608 1.151
Tb -1.417 -4.630 -2.355
Tb 0.026 -0.161 -2.050
Si -1.337 -4.072 0.303
Si 1.915 -0.623 0.074
Si -0.621 -2.327 -3.557
Al 1.972 -0.972 -4.365
Al 0.686 -4.104 2.565
Al 1.129 -3.193 -1.233
```



No. 8
A plane-wave DFT calculation with PBE was carried out for an optimized crystal structure of Tm3Mg3IrPt2. Values from VASP.

The structure in Quantum ESPRESSO input format:
```
&SYSTEM
  ibrav = 0, nat = 9, ntyp = 4
/
ATOMIC_SPECIES
Tm 168.93 Tm.upf
Pt 195.08 Pt.upf
Mg 24.30 Mg.upf
Ir 192.22 Ir.upf
CELL_PARAMETERS angstrom
7.234 0.000 0.000
-3.617 6.265 0.000
0.000 0.000 4.076
ATOMIC_POSITIONS angstrom
Tm -1.463 2.533 0.000
Tm 2.925 0.000 0.000
Tm 2.154 3.731 0.000
Pt 0.000 4.177 2.038
Pt 3.617 2.088 2.038
Mg 5.466 0.000 2.038
Mg -2.733 4.734 2.038
Mg 0.884 1.531 2.038
Ir 0.000 0.000 0.000
```



No. 9
A plane-wave DFT calculation with PBE was carried out for an optimized crystal structure of GdI2. Values from VASP.

The structure in Quantum ESPRESSO input format:
```
&SYSTEM
  ibrav = 0, nat = 6, ntyp = 2
/
ATOMIC_SPECIES
Gd 157.25 Gd.upf
I 126.90 I.upf
CELL_PARAMETERS angstrom
2.062 1.191 15.691
-2.062 1.191 15.691
0.000 -2.381 15.691
ATOMIC_POSITIONS angstrom
Gd 0.000 0.000 0.000
Gd 0.000 0.000 23.536
I 0.000 0.000 13.690
I 0.000 0.000 5.845
I 0.000 0.000 33.382
I 0.000 0.000 41.227
```



No. 10
A plane-wave DFT calculation with PBE was carried out for an optimized crystal structure of TaTe2. Values from VASP.

The structure in Quantum ESPRESSO input format:
```
&SYSTEM
  ibrav = 0, nat = 12, ntyp = 2
/
ATOMIC_SPECIES
Te 127.60 Te.upf
Ta 180.95 Ta.upf
CELL_PARAMETERS angstrom
-1.021 -2.300 -2.705
-0.282 -1.057 3.529
-26.319 10.471 1.033
ATOMIC_POSITIONS angstrom
Te -8.662 1.765 1.770
Te -22.068 6.586 0.209
Te -18.060 7.186 0.709
Te -1.498 0.596 0.059
Te -25.474 7.941 0.342
Te -14.657 5.832 0.575
Te -12.068 3.120 1.904
Te -4.901 1.950 0.192
Ta -16.888 5.037 2.093
Ta -3.975 -0.612 -0.501
Ta -10.612 2.028 -0.241
Ta -23.525 7.678 2.353
```



No. 11
! PBE TmAu2, optimized geometry; values from VASP
! * ΔH_f (0 K): -0.516 eV per atom
&SYSTEM
  ibrav = 0, nat = 6, ntyp = 2
/
ATOMIC_SPECIES
Tm 168.93 Tm.upf
Au 196.97 Au.upf
CELL_PARAMETERS angstrom
0.000 3.951 3.951
3.951 0.000 3.951
3.951 3.951 0.000
ATOMIC_POSITIONS angstrom
Tm 1.975 1.975 1.975
Tm 0.000 0.000 0.000
Au 4.939 4.939 4.939
Au 2.963 2.963 4.939
Au 2.963 4.939 2.963
Au 4.939 2.963 2.963



No. 12
! PBE SmUTl, optimized geometry; values from VASP
! * energy relative to the lowest polymorph listed for this composition: 0 meV per atom
&SYSTEM
  ibrav = 0, nat = 3, ntyp = 3
/
ATOMIC_SPECIES
Tl 204.38 Tl.upf
Sm 150.36 Sm.upf
U 238.03 U.upf
CELL_PARAMETERS angstrom
0.000 3.697 3.697
3.697 0.000 3.697
3.697 3.697 0.000
ATOMIC_POSITIONS angstrom
Tl 0.000 0.000 0.000
Sm 1.848 1.848 1.848
U 5.545 5.545 5.545



The calculation returns the following electronic total energy values, one per record and in order: -0.119 -0.224 -0.194 -0.142 -0.089 -0.149 -0.176 -0.192 -0.140 -0.234 -0.154 -0.200 hartree per atom.